DFT (GGA-PBE) results for a relaxed structure of NaLiPbCl2.

```
data_NaLiPbCl2
_cell_length_a 4.748
_cell_length_b 4.748
_cell_length_c 5.702
_cell_angle_alpha 90.00
_cell_angle_beta 90.00
_cell_angle_gamma 90.00
_symmetry_space_group_name_H-M 'P 4/m m m'
_symmetry_Int_Tables_number 123
_symmetry_space_group_name_Hall '-P 4 2'
loop_
_atom_site_label
_atom_site_fract_x
_atom_site_fract_y
_atom_site_fract_z
_atom_site_occupancy
Na1 0.000 0.000 0.000 1
Li1 0.000 0.000 0.500 1
Pb1 0.500 0.500 0.000 1
Cl1 0.000 0.500 0.500 1
```

Results
**E_tot**: -2.857 eV per atom
**Size of the total moment**: 0.0 Bohr magnetons per cell